This record from Alexandria describes a relaxed Pr4In16Ni3 crystal. The functional is PBE-GGA.

Values from the calculation:
energy of formation from the pure elements	-0.350	eV per atom
D(E_F)	10.22	states/eV/f.u.

a = 6.700 Å, b = 6.700 Å, c = 12.376 Å
α = 90.00°, β = 90.00°, γ = 90.00°
Fractional coordinates of all 23 atoms:
1 Pr 0.500 0.000 0.805
2 Pr 0.000 0.500 0.195
3 Pr 0.000 0.500 0.805
4 Pr 0.500 0.000 0.195
5 In 0.000 0.000 0.787
6 In 0.272 0.272 0.000
7 In 0.500 0.500 0.804
8 In 0.728 0.272 0.000
9 In 0.500 0.500 0.196
10 In 0.728 0.728 0.000
11 In 0.000 0.000 0.213
12 In 0.747 0.747 0.618
13 In 0.747 0.253 0.382
14 In 0.253 0.253 0.618
15 In 0.253 0.747 0.382
16 In 0.272 0.728 0.000
17 In 0.747 0.747 0.382
18 In 0.747 0.253 0.618
19 In 0.253 0.253 0.382
20 In 0.253 0.747 0.618
21 Ni 0.000 0.500 0.500
22 Ni 0.000 0.000 0.000
23 Ni 0.500 0.000 0.500


This record from Alexandria describes a relaxed Pr3In8Ni3 crystal. The functional is PBE-GGA.

Values from the calculation:
energy of formation from the pure elements	-0.341	eV per atom
D(E_F)	8.28	states/eV/f.u.

a = 4.859 Å, b = 8.874 Å, c = 8.885 Å
α = 62.19°, β = 74.13°, γ = 74.11°
Fractional coordinates of all 14 atoms:
1 Pr 0.283 0.723 0.712
2 Pr 0.717 0.277 0.288
3 Pr 0.000 0.000 0.000
4 In 0.135 0.166 0.564
5 In 0.865 0.834 0.436
6 In 0.850 0.436 0.864
7 In 0.150 0.564 0.136
8 In 0.511 0.657 0.321
9 In 0.489 0.343 0.679
10 In 0.354 0.040 0.251
11 In 0.646 0.960 0.749
12 Ni 0.000 0.500 0.500
13 Ni 0.663 0.665 0.010
14 Ni 0.337 0.335 0.990


This record from Alexandria describes a relaxed Pr6In3Ni crystal. The functional is PBE-GGA.

Values from the calculation:
energy of formation from the pure elements	-0.278	eV per atom
D(E_F)	9.30	states/eV/f.u.

a = 5.553 Å, b = 9.505 Å, c = 11.457 Å
α = 90.00°, β = 90.02°, γ = 90.00°
Fractional coordinates of all 20 atoms:
1 Pr 0.502 0.157 0.936
2 Pr 0.501 0.181 0.558
3 Pr 0.501 0.494 0.269
4 Pr 0.499 0.506 0.731
5 Pr 0.499 0.819 0.442
6 Pr 0.498 0.843 0.064
7 Pr 0.002 0.343 0.436
8 Pr 0.001 0.319 0.058
9 Pr 0.001 0.006 0.769
10 Pr 0.999 0.994 0.231
11 Pr 0.999 0.681 0.942
12 Pr 0.998 0.657 0.564
13 In 0.501 0.840 0.749
14 In 0.500 0.500 0.000
15 In 0.499 0.160 0.251
16 In 0.001 0.660 0.249
17 In 0.000 0.000 0.500
18 In 0.999 0.340 0.751
19 Ni 0.500 0.500 0.500
20 Ni 0.000 0.000 0.000


This record from Alexandria describes a relaxed PrIn6Ni6 crystal. The functional is PBE-GGA.

Values from the calculation:
energy of formation from the pure elements	-0.207	eV per atom
D(E_F)	8.97	states/eV/f.u.

a = 5.328 Å, b = 7.017 Å, c = 7.017 Å
α = 80.51°, β = 67.69°, γ = 67.69°
Fractional coordinates of all 13 atoms:
1 Pr 0.000 0.000 0.000
2 In 0.343 0.657 0.657
3 In 0.657 0.343 0.343
4 In 0.000 0.334 0.666
5 In 0.000 0.666 0.334
6 In 0.317 0.183 0.183
7 In 0.683 0.817 0.817
8 Ni 0.000 0.500 0.000
9 Ni 0.500 0.500 0.000
10 Ni 0.000 0.000 0.500
11 Ni 0.500 0.000 0.500
12 Ni 0.500 0.762 0.238
13 Ni 0.500 0.238 0.762


This record from Alexandria describes a relaxed Pr2In5Ni3 crystal. The functional is PBE-GGA.

Values from the calculation:
energy of formation from the pure elements	-0.335	eV per atom
energy above the lowest structure with this stoichiometry	0.0247	eV/atom
D(E_F)	6.67	states/eV/f.u.

a = 6.074 Å, b = 9.066 Å, c = 9.066 Å
α = 72.17°, β = 70.43°, γ = 70.43°
Fractional coordinates of all 20 atoms:
1 Pr 0.151 0.567 0.131
2 Pr 0.651 0.131 0.567
3 Pr 0.849 0.433 0.869
4 Pr 0.349 0.869 0.433
5 In 0.421 0.258 0.899
6 In 0.921 0.899 0.258
7 In 0.579 0.742 0.101
8 In 0.079 0.101 0.742
9 In 0.459 0.791 0.791
10 In 0.541 0.209 0.209
11 In 0.750 0.500 0.500
12 In 0.250 0.500 0.500
13 In 0.041 0.209 0.209
14 In 0.959 0.791 0.791
15 Ni 0.353 0.554 0.739
16 Ni 0.853 0.739 0.554
17 Ni 0.647 0.446 0.261
18 Ni 0.147 0.261 0.446
19 Ni 0.250 0.000 0.000
20 Ni 0.750 0.000 0.000


This record from Alexandria describes a relaxed Pr2In5Ni3 crystal. The functional is PBE-GGA.

Values from the calculation:
energy of formation from the pure elements	-0.360	eV per atom
energy above the lowest structure with this stoichiometry	0.0000	eV/atom
D(E_F)	7.44	states/eV/f.u.

a = 4.461 Å, b = 7.264 Å, c = 13.369 Å
α = 90.00°, β = 99.60°, γ = 90.00°
Fractional coordinates of all 20 atoms:
1 Pr 0.474 0.782 0.948
2 Pr 0.174 0.704 0.347
3 Pr 0.826 0.204 0.653
4 Pr 0.526 0.282 0.052
5 In 0.404 0.401 0.809
6 In 0.289 0.498 0.578
7 In 0.711 0.998 0.422
8 In 0.127 0.242 0.253
9 In 0.294 0.902 0.588
10 In 0.948 0.113 0.897
11 In 0.706 0.402 0.412
12 In 0.873 0.742 0.747
13 In 0.052 0.613 0.103
14 In 0.596 0.901 0.191
15 Ni 0.771 0.698 0.542
16 Ni 0.610 0.528 0.219
17 Ni 0.047 0.997 0.093
18 Ni 0.229 0.198 0.458
19 Ni 0.953 0.497 0.907
20 Ni 0.390 0.028 0.781


This record from Alexandria describes a relaxed PrIn2Ni crystal. The functional is PBE-GGA.

Values from the calculation:
energy of formation from the pure elements	-0.297	eV per atom
D(E_F)	2.63	states/eV/f.u.

a = 4.444 Å, b = 4.444 Å, c = 6.160 Å
α = 68.85°, β = 68.85°, γ = 60.00°
Fractional coordinates of all 4 atoms:
1 Pr 0.500 0.500 0.500
2 Ni 0.000 0.000 0.000
3 In 0.285 0.285 0.145
4 In 0.715 0.715 0.855


This record from Alexandria describes a relaxed PrInNiPt crystal. The functional is PBE-GGA.

Values from the calculation:
energy of formation from the pure elements	-0.509	eV per atom
D(E_F)	2.73	states/eV/f.u.

a = 4.848 Å, b = 4.848 Å, c = 4.848 Å
α = 60.00°, β = 60.00°, γ = 60.00°
Fractional coordinates of all 4 atoms:
1 Pr 0.000 0.000 0.000
2 Ni 0.250 0.250 0.250
3 Pt 0.750 0.750 0.750
4 In 0.500 0.500 0.500